[1]
A PBEsol-optimized structure of K2BaZn, computed with meta-GGA SCAN.

abc: 4.6145 4.6145 12.0437
angles: 78.96 78.96 60.00
Last column: nearest neighbours and their distance in Å.
Atoms (fractional coordinates):
K 0.0012 0.0012 0.9963  9 K 4.61-4.69, 3 Ba 4.68
Ba 0.7771 0.7771 0.6687  3 Zn 3.25
K 0.2249 0.2249 0.3252  3 Zn 3.43
Zn 0.4968 0.4968 0.5097  3 Ba 3.25, 3 K 3.43

Calculated values
formation enthalpy at 0 K = 0.081 eV/atom
total energy = -69.40 eV per formula unit
relative energy among the computed polymorphs = 0.000 eV per formula unit



[2]
A PBEsol-optimized structure of KBa2Zn, computed with meta-GGA SCAN.

abc: 6.0276 6.0276 6.0276
angles: 60.00 60.00 60.00
Last column: nearest neighbours and their distance in Å.
Atoms (fractional coordinates):
Ba 0.7500 0.7500 0.7500  4 K 3.69, 4 Ba 3.69
Ba 0.0000 0.0000 0.0000  4 Ba 3.69, 4 Zn 3.69
K 0.5000 0.5000 0.5000  4 Zn 3.69, 4 Ba 3.69
Zn 0.2500 0.2500 0.2500  4 Ba 3.69, 4 K 3.69

Calculated values
formation enthalpy at 0 K = 0.228 eV/atom
total energy = -100.03 eV per formula unit